Entry 1:
TiIr2BrO: optimized geometry, PBE-GGA.

Structure (extended XYZ):
```
5
Lattice="3.9315 0.0000 0.0000 0.0000 3.9315 0.0000 0.0000 0.0000 5.3782" Properties=species:S:1:pos:R:3 pbc="T T T"
Ti 0.0000 0.0000 0.0000
Ir 0.0000 1.9657 2.6891
Ir 1.9657 0.0000 2.6891
Br 1.9657 1.9657 0.0000
O 1.9657 1.9657 2.6891
```

Output
- VASP energy (eV per cell) = -30.2
- symmetry = No. 123
- magnetization (μB per formula unit) = 0.00
- uncorrected formation energy (eV/atom) = 0.402

=====

Entry 2:
MnNiTe2: optimized geometry, PBE-GGA.

Structure (extended XYZ):
```
4
Lattice="4.0622 0.0000 0.0000 -2.0311 3.5180 0.0000 0.0000 0.0000 5.7077" Properties=species:S:1:pos:R:3 pbc="T T T"
Mn 0.0000 0.0000 0.0000
Ni 0.0000 0.0000 2.8538
Te 0.0000 2.3453 1.5157
Te 2.0311 1.1727 4.1920
```

Output
- VASP energy (eV per cell) = -21.8
- symmetry = No. 164
- magnetization (μB per formula unit) = 3.31
- uncorrected formation energy (eV/atom) = -0.131

=====

Entry 3:
B2C: optimized geometry, PBE-GGA.

Structure (extended XYZ):
```
12
Lattice="4.1052 0.0000 0.0000 -1.0791 4.1159 0.0000 -0.1281 -1.6602 5.0441" Properties=species:S:1:pos:R:3 pbc="T T T"
B 0.0268 -0.3703 1.6114
B 0.1621 1.6920 3.2596
B 0.7837 2.0619 1.1922
B 1.4401 -1.0919 4.4271
B 1.4580 3.5476 0.6171
B 2.1143 0.3937 3.8519
B 2.7359 0.7636 1.7845
B 2.8712 2.8259 3.4328
C -0.6430 2.2027 1.8425
C 1.2553 0.5388 1.0650
C 1.6427 1.9169 3.9791
C 3.5410 0.2529 3.2016
```

Output
- VASP energy (eV per cell) = -87.2
- ΔH_f (0 K) (kJ/mol of atoms) = 25.2
- symmetry = No. 2
- magnetization (μB per formula unit) = 0.00
- relative energy among the computed polymorphs (meV/atom) = 75.8